LiRe3W | PBE | optimized geometry

energy of formation	2.13	eV per atom
spin magnetization	2.3	Bohr magnetons per cell
density of states at the Fermi level	4.7	states/eV/f.u.
crystal system	cubic

extended XYZ file:
```
5
Lattice="4.7824 0.0000 0.0000 0.0000 4.7824 0.0000 0.0000 0.0000 4.7824" Properties=species:S:1:pos:R:3 pbc="T T T"
W 0.0000 0.0000 0.0000
Re 0.0000 2.3912 0.0000
Re 2.3912 0.0000 0.0000
Re 0.0000 0.0000 2.3912
Li 2.3912 2.3912 2.3912
```

---

NaTlAgI4 | PBE | optimized geometry

energy relative to the elements, uncorrected	-379	kJ/mol of formula units
spin magnetization	0.0	Bohr magnetons per cell
density of states at the Fermi level	1.9	states/eV/f.u.
crystal system	monoclinic

extended XYZ file:
```
14
Lattice="-1.3792 7.7056 3.0708 -6.1734 -0.0946 -2.5354 -2.8854 -6.2008 7.2572" Properties=species:S:1:pos:R:3 pbc="T T T"
I -5.5280 2.4641 0.1902
I -6.9830 -0.4357 3.8412
I -4.9101 -1.0539 7.6023
I -5.2882 -4.4099 4.1420
I -3.4551 1.8459 3.9514
I -8.2950 -4.4560 2.9071
I -5.1498 5.8201 3.6506
I -2.1430 5.8661 4.8855
Na -6.7461 2.7097 3.1471
Na -3.6920 -1.2995 4.6454
Ag -5.9336 -0.1149 1.2741
Ag -4.5045 1.5250 6.5185
Tl -2.1073 1.6855 0.6755
Tl -8.3308 -0.2753 7.1171
```

---

AlRe2Os | PBE | optimized geometry

energy of formation	-0.01	eV per atom
spin magnetization	0.0	Bohr magnetons per cell
density of states at the Fermi level	2.9	states/eV/f.u.
crystal system	trigonal

extended XYZ file:
```
4
Lattice="8.9225 -0.0164 -0.0096 8.4913 2.7402 -0.0096 8.4913 1.3282 2.3969" Properties=species:S:1:pos:R:3 pbc="T T T"
Al 6.4763 1.0130 0.5944
Re 12.9140 2.0200 1.1853
Re 0.0385 0.0060 0.0035
Os 19.4288 3.0391 1.7832
```

---

Which value of spin magnetization does entry 2 give?
0.0 Bohr magnetons per cell

---

Look up the density of states at the Fermi level of the first one.
4.7 states/eV/f.u.

---

Which value of density of states at the Fermi level does entry 2 give?
1.9 states/eV/f.u.

---

What is the density of states at the Fermi level in the first record?
4.7 states/eV/f.u.